{
  "formula": "Tb6Nd2Y",
  "functional": "PBE-GGA",
  "state": "optimized geometry",
  "e_form_ev_per_atom": 0.196,
  "relative_energy_ev_per_atom": 0.090,
  "crystal_system": "monoclinic",
  "sg": "C2/m",
  "final_energy_ev_per_cell": -42.02,
  "cell": [[8.882, -5.033, 0.000], [8.882, 5.033, 0.000], [-0.637, 0.000, 3.400]],
  "species": ["Tb", "Tb", "Tb", "Tb", "Tb", "Tb", "Nd", "Nd", "Y"],
  "fractional_positions": [[0.145, 0.523, 0.335], [0.189, 0.811, 0.000], [0.477, 0.855, 0.665], [0.523, 0.145, 0.335], [0.811, 0.189, 0.000], [0.855, 0.477, 0.665], [0.169, 0.169, 0.167], [0.831, 0.831, 0.833], [0.500, 0.500, 0.500]]
}

=====

{
  "formula": "SrTlMo4",
  "functional": "PBE-GGA",
  "state": "optimized geometry",
  "e_form_ev_per_atom": 0.679,
  "crystal_system": "cubic",
  "sg": "F-43m",
  "final_energy_ev_per_cell": -43.30,
  "cell": [[0.000, 3.909, 3.909], [3.909, 0.000, 3.909], [3.909, 3.909, 0.000]],
  "species": ["Sr", "Tl", "Mo", "Mo", "Mo", "Mo"],
  "fractional_positions": [[0.000, 0.000, 0.000], [0.750, 0.750, 0.750], [0.375, 0.375, 0.375], [0.375, 0.375, 0.876], [0.375, 0.876, 0.375], [0.876, 0.375, 0.375]]
}

=====

{
  "formula": "PmNd3Ga2",
  "functional": "PBE-GGA",
  "state": "optimized geometry",
  "e_form_ev_per_atom": -0.340,
  "relative_energy_ev_per_atom": 0.051,
  "crystal_system": "monoclinic",
  "sg": "C2/m",
  "final_energy_ev_per_cell": -54.30,
  "cell": [[8.874, -2.313, 0.000], [8.874, 2.313, 0.000], [-3.658, 0.000, 8.501]],
  "species": ["Pm", "Pm", "Nd", "Nd", "Nd", "Nd", "Nd", "Nd", "Ga", "Ga", "Ga", "Ga"],
  "fractional_positions": [[0.117, 0.117, 0.142], [0.883, 0.883, 0.858], [0.046, 0.046, 0.689], [0.320, 0.320, 0.067], [0.351, 0.351, 0.524], [0.649, 0.649, 0.476], [0.680, 0.680, 0.933], [0.954, 0.954, 0.311], [0.231, 0.231, 0.711], [0.497, 0.497, 0.858], [0.503, 0.503, 0.142], [0.769, 0.769, 0.289]]
}

=====

{
  "formula": "Dy6AlZn3",
  "functional": "PBE-GGA",
  "state": "optimized geometry",
  "e_form_ev_per_atom": -0.244,
  "crystal_system": "monoclinic",
  "sg": "P2_1/m",
  "final_energy_ev_per_cell": -75.23,
  "cell": [[9.099, 0.000, 0.000], [0.000, 5.022, 0.000], [-3.130, 0.000, 10.785]],
  "species": ["Dy", "Dy", "Dy", "Dy", "Dy", "Dy", "Dy", "Dy", "Dy", "Dy", "Dy", "Dy", "Al", "Al", "Zn", "Zn", "Zn", "Zn", "Zn", "Zn"],
  "fractional_positions": [[0.024, 0.250, 0.399], [0.147, 0.750, 0.180], [0.247, 0.250, 0.001], [0.341, 0.750, 0.824], [0.378, 0.250, 0.338], [0.379, 0.250, 0.618], [0.621, 0.750, 0.382], [0.622, 0.750, 0.662], [0.659, 0.250, 0.176], [0.753, 0.750, 0.999], [0.853, 0.250, 0.820], [0.976, 0.750, 0.601], [0.451, 0.750, 0.112], [0.549, 0.250, 0.888], [0.033, 0.750, 0.885], [0.125, 0.250, 0.724], [0.274, 0.750, 0.469], [0.726, 0.250, 0.531], [0.875, 0.750, 0.276], [0.967, 0.250, 0.115]]
}